# 1
A plane-wave DFT calculation with PBE was carried out for a relaxed PmEuPt4 crystal.

Calculated values
Formation enthalpy at 0 K (eV/atom): -1.03

a b c (Å): 7.7844 7.7844 7.7844
angles (deg): 90.00 90.00 90.00
Space group F-43m (No. 216)
Symmetry-distinct sites (fractional):
Pm1 0.0000 0.0000 0.0000
Eu1 0.2500 0.2500 0.7500
Pt1 0.1249 0.1249 0.3751


# 2
A plane-wave DFT calculation with PBE was carried out for a relaxed PmEuPtRh crystal.

Calculated values
Formation enthalpy at 0 K (eV/atom): -0.75

a b c (Å): 7.0981 7.0981 7.0981
angles (deg): 90.00 90.00 90.00
Space group F-43m (No. 216)
Symmetry-distinct sites (fractional):
Pm1 0.0000 0.0000 0.0000
Eu1 0.0000 0.0000 0.5000
Pt1 0.2500 0.2500 0.7500
Rh1 0.2500 0.2500 0.2500


# 3
A plane-wave DFT calculation with PBE was carried out for a relaxed PmEuSbPt crystal.

Calculated values
Energy relative to the elements, uncorrected (meV per atom): -921

a b c (Å): 7.4977 7.4977 7.4977
angles (deg): 90.00 90.00 90.00
Space group F-43m (No. 216)
Symmetry-distinct sites (fractional):
Pm1 0.0000 0.0000 0.0000
Eu1 0.0000 0.0000 0.5000
Sb1 0.2500 0.2500 0.2500
Pt1 0.2500 0.2500 0.7500


# 4
A plane-wave DFT calculation with PBE was carried out for a relaxed PmEuSiPt crystal.

Calculated values
Energy relative to the elements, uncorrected (meV per atom): -669

a b c (Å): 7.2339 7.2339 7.2339
angles (deg): 90.00 90.00 90.00
Space group F-43m (No. 216)
Symmetry-distinct sites (fractional):
Pm1 0.0000 0.0000 0.0000
Eu1 0.0000 0.0000 0.5000
Si1 0.2500 0.2500 0.7500
Pt1 0.2500 0.2500 0.2500


# 5
A plane-wave DFT calculation with PBE was carried out for a relaxed PmEuSnPt crystal.

Calculated values
Formation enthalpy at 0 K (eV/atom): -0.74

a b c (Å): 7.4844 7.4844 7.4844
angles (deg): 90.00 90.00 90.00
Space group F-43m (No. 216)
Symmetry-distinct sites (fractional):
Pm1 0.0000 0.0000 0.0000
Eu1 0.0000 0.0000 0.5000
Sn1 0.2500 0.2500 0.2500
Pt1 0.2500 0.2500 0.7500


# 6
A plane-wave DFT calculation with PBE was carried out for a relaxed PmEuTlPt crystal.

Calculated values
Formation enthalpy at 0 K (eV/atom): -0.59

a b c (Å): 7.4909 7.4909 7.4909
angles (deg): 90.00 90.00 90.00
Space group F-43m (No. 216)
Symmetry-distinct sites (fractional):
Pm1 0.0000 0.0000 0.0000
Eu1 0.0000 0.0000 0.5000
Tl1 0.2500 0.2500 0.2500
Pt1 0.2500 0.2500 0.7500


# 7
A plane-wave DFT calculation with PBE was carried out for a relaxed PmEuPu crystal.

Calculated values
Formation enthalpy at 0 K (eV/atom): 0.21

a b c (Å): 3.6152 3.6152 8.9080
angles (deg): 90.00 90.00 120.00
Space group P3m1 (No. 156)
Symmetry-distinct sites (fractional):
Pm1 0.0000 0.0000 0.0000
Eu1 0.6667 0.3333 0.3476
Pu1 0.3333 0.6667 0.6870


# 8
A plane-wave DFT calculation with PBE was carried out for a relaxed PmEuPu crystal.

Calculated values
Formation enthalpy at 0 K (eV/atom): 0.20

a b c (Å): 3.5645 3.5645 15.7289
angles (deg): 90.00 90.00 90.00
Space group I4mm (No. 107)
Symmetry-distinct sites (fractional):
Pm1 0.0000 0.0000 0.0000
Eu1 0.0000 0.0000 0.6755
Pu1 0.0000 0.0000 0.3469


# 9
A plane-wave DFT calculation with PBE was carried out for a relaxed Pm2EuPu crystal.

Calculated values
Formation enthalpy at 0 K (eV/atom): 0.21

a b c (Å): 5.1521 5.1521 5.0715
angles (deg): 90.00 90.00 90.00
Space group P4/mmm (No. 123)
Symmetry-distinct sites (fractional):
Pm1 0.0000 0.5000 0.0000
Eu1 0.0000 0.0000 0.5000
Pu1 0.5000 0.5000 0.5000


# 10
A plane-wave DFT calculation with PBE was carried out for a relaxed PmEuRe4 crystal.

Calculated values
Formation enthalpy at 0 K (eV/atom): 0.10

a b c (Å): 7.7465 7.7465 7.7465
angles (deg): 90.00 90.00 90.00
Space group F-43m (No. 216)
Symmetry-distinct sites (fractional):
Pm1 0.0000 0.0000 0.0000
Eu1 0.2500 0.2500 0.2500
Re1 0.1250 0.1250 0.6250


# 11
A plane-wave DFT calculation with PBE was carried out for a relaxed PmEu2Rh crystal.

Calculated values
Formation enthalpy at 0 K (eV/atom): 0.03

a b c (Å): 3.6785 3.6785 32.2995
angles (deg): 90.00 90.00 120.00
Space group R-3m (No. 166, hexagonal axes)
Symmetry-distinct sites (fractional):
Pm1 0.0000 0.0000 0.0000
Eu1 0.0000 0.0000 0.1074
Rh1 0.0000 0.0000 0.5000


# 12
A plane-wave DFT calculation with PBE was carried out for a relaxed PmEuRh2 crystal.

Calculated values
Formation enthalpy at 0 K (eV/atom): -0.53

a b c (Å): 3.5174 3.5174 7.0474
angles (deg): 90.00 90.00 90.00
Space group P4/mmm (No. 123)
Symmetry-distinct sites (fractional):
Pm1 0.0000 0.0000 0.0000
Eu1 0.0000 0.0000 0.5000
Rh1 0.5000 0.5000 0.2352


| no. | calculated total energy (eV per cell) | density of states at the Fermi level (states/eV per cell) |
| --- | --- | --- |
| 1 | -181.48 | 53.5 |
| 2 | -125.70 | 50.6 |
| 3 | -115.48 | 30.1 |
| 4 | -116.66 | 43.2 |
| 5 | -112.04 | 50.4 |
| 6 | -103.21 | 29.9 |
| 7 | -28.72 | 10.8 |
| 8 | -57.53 | 19.6 |
| 9 | -33.25 | 14.9 |
| 10 | -256.95 | 13.2 |
| 11 | -97.63 | 35.5 |
| 12 | -31.85 | 11.9 |